[1]
# GGA-PBE Ta2CuPt, relaxed
data_Ta2CuPt
_chemical_formula_sum 'Ta2 Cu1 Pt1'
_space_group_name_H-M_alt 'P 1'
_space_group_IT_number 1
_cell_length_a 4.942
_cell_length_b 4.942
_cell_length_c 2.797
_cell_angle_alpha 90.20
_cell_angle_beta 90.20
_cell_angle_gamma 111.20
loop_
_space_group_symop_operation_xyz
'x,y,z'
loop_
_atom_site_label
_atom_site_type_symbol
_atom_site_fract_x
_atom_site_fract_y
_atom_site_fract_z
_atom_site_occupancy
Ta1 Ta 0.000 0.500 0.000 1
Ta2 Ta 0.500 0.000 0.000 1
Cu1 Cu 0.000 0.000 0.500 1
Pt1 Pt 0.500 0.500 0.500 1
# - VASP energy: -8.721 eV per atom
# - Size of the total moment: 0.000 μB/cell

=====

[2]
# GGA-PBE TaCuPt2, relaxed
data_TaCuPt2
_chemical_formula_sum 'Ta1 Cu1 Pt2'
_space_group_name_H-M_alt 'P 1'
_space_group_IT_number 1
_cell_length_a 2.858
_cell_length_b 3.809
_cell_length_c 5.608
_cell_angle_alpha 90.00
_cell_angle_beta 90.19
_cell_angle_gamma 90.00
loop_
_space_group_symop_operation_xyz
'x,y,z'
loop_
_atom_site_label
_atom_site_type_symbol
_atom_site_fract_x
_atom_site_fract_y
_atom_site_fract_z
_atom_site_occupancy
Ta1 Ta 0.000 0.000 0.000 1
Cu1 Cu 0.000 0.000 0.500 1
Pt1 Pt 0.499 0.500 0.743 1
Pt2 Pt 0.501 0.500 0.257 1
# - VASP energy: -7.540 eV per atom
# - Size of the total moment: 0.000 μB/cell

=====

[3]
# GGA-PBE TaCuPt2, relaxed
data_TaCuPt2
_chemical_formula_sum 'Ta2 Cu2 Pt4'
_space_group_name_H-M_alt 'P 1'
_space_group_IT_number 1
_cell_length_a 5.679
_cell_length_b 5.679
_cell_length_c 5.679
_cell_angle_alpha 103.39
_cell_angle_beta 103.39
_cell_angle_gamma 122.47
loop_
_space_group_symop_operation_xyz
'x,y,z'
loop_
_atom_site_label
_atom_site_type_symbol
_atom_site_fract_x
_atom_site_fract_y
_atom_site_fract_z
_atom_site_occupancy
Ta1 Ta 0.000 0.000 0.000 1
Ta2 Ta 0.750 0.250 0.500 1
Cu1 Cu 0.250 0.750 0.500 1
Cu2 Cu 0.500 0.500 0.000 1
Pt1 Pt 0.125 0.625 0.000 1
Pt2 Pt 0.375 0.375 0.500 1
Pt3 Pt 0.625 0.125 0.000 1
Pt4 Pt 0.875 0.875 0.500 1
# - VASP energy: -7.029 eV per atom
# - Size of the total moment: 0.000 μB/cell